No. 1
The following is a PBE calculation of PuScI5 after structural relaxation, from Alexandria via LeMat-Bulk.

abc: 9.1484 4.0637 15.5658
angles: 90.00 91.05 90.00
Positions (direct):
Pu 0.0718 0.2500 0.3664
Pu 0.9282 0.7500 0.6336
Sc 0.3504 0.7500 0.1757
Sc 0.6496 0.2500 0.8243
I 0.0282 0.7500 0.2077
I 0.1703 0.2500 0.5675
I 0.2708 0.2500 0.0466
I 0.3426 0.7500 0.3679
I 0.4198 0.7500 0.7955
I 0.5802 0.2500 0.2045
I 0.6574 0.2500 0.6321
I 0.7292 0.7500 0.9534
I 0.8297 0.7500 0.4325
I 0.9718 0.2500 0.7923

Properties
Formation energy (no corrections) (meV/atom): -1126



No. 2
The following is a PBE calculation of PuSeI2 after structural relaxation, from Alexandria via LeMat-Bulk.

abc: 10.9490 10.9490 10.9490
angles: 20.46 20.46 20.46
Positions (direct):
Pu 0.0000 0.0000 0.0000
Se 0.5000 0.5000 0.5000
I 0.0912 0.0912 0.0912
I 0.9088 0.9088 0.9088

Properties
Formation energy (no corrections) (meV/atom): 322



no.,DFT total energy (eV/atom)
1,-5.1856
2,-4.9072